DFT (GGA-PBE) results for crystalline V5CrOs4 at its relaxed geometry.

The calculation puts the density of states at the Fermi level at 7.73 states/eV/f.u. The value obtained for the formation energy is -0.26 eV/atom. The calculated volume comes out at 13.50 Å³ per atom.

The space group is P4/mmm (No. 123) and the conventional cell measures 2.987, 2.987 and 15.130 Å, with angles of 90.00, 90.00 and 90.00 degrees. The inequivalent atoms are V at (0.000, 0.000, 0.000), V at (0.000, 0.000, 0.204), V at (0.000, 0.000, 0.408), Cr at (0.500, 0.500, 0.500), Os at (0.500, 0.500, 0.100) and Os at (0.500, 0.500, 0.304).